(1)
Computed, not measured: a relaxed Cd2CuAu crystal at the PBEsol level of DFT.

The structure in POSCAR format:
```
Cd2CuAu
1.0
-2.499 -0.906 1.671
-0.231 -2.594 -1.754
4.158 -3.347 4.403
Cd Au Cu
2 1 1
Direct
0.500 0.500 0.285 Cd
0.000 0.000 0.983 Cd
0.500 0.500 0.718 Au
0.000 0.000 0.514 Cu
```

Computed properties:
Magnetic moment ... 0.00 μB per formula unit
ΔE_f ... -0.046 eV per atom
N(E_F) ... 0.3053 states/eV/atom



(2)
Computed, not measured: a relaxed CdCuAu2 crystal at the PBEsol level of DFT.

The structure in POSCAR format:
```
CdCuAu2
1.0
-3.469 -0.424 2.075
1.295 -3.473 1.455
2.720 3.865 1.356
Cd Au Cu
1 2 1
Direct
0.502 0.502 0.003 Cd
0.998 0.998 0.996 Au
0.250 0.750 0.499 Au
0.751 0.251 0.502 Cu
```

Computed properties:
Magnetic moment ... 0.00 μB per formula unit
ΔE_f ... -0.084 eV per atom
N(E_F) ... 0.2840 states/eV/atom



(3)
Computed, not measured: a relaxed CdCuAu crystal at the PBEsol level of DFT.

The structure in POSCAR format:
```
CdCuAu
1.0
-0.931 -1.704 -2.519
-1.600 -1.969 1.924
-2.573 4.550 -0.118
Cu Cd Au
1 1 1
Direct
0.339 0.339 0.678 Cu
0.675 0.675 0.350 Cd
0.986 0.986 0.972 Au
```

Computed properties:
Magnetic moment ... 0.00 μB per formula unit
ΔE_f ... -0.059 eV per atom
Distance to the lowest polymorph of the same formula ... 0.00 eV per formula unit
N(E_F) ... 0.3295 states/eV/atom



(4)
Computed, not measured: a relaxed CdCu2Au2 crystal at the PBEsol level of DFT.

The structure in POSCAR format:
```
CdCu2Au2
1.0
-1.760 -0.635 -2.261
-1.583 -6.492 3.055
-5.663 3.051 3.550
Cu Au Cd
4 4 2
Direct
0.500 0.340 0.160 Cu
0.500 0.660 0.840 Cu
0.500 0.160 0.660 Cu
0.500 0.840 0.340 Cu
0.000 0.637 0.137 Au
0.000 0.363 0.863 Au
0.000 0.137 0.363 Au
0.000 0.863 0.637 Au
0.000 0.500 0.500 Cd
0.000 0.000 0.000 Cd
```

Computed properties:
Magnetic moment ... 0.00 μB per formula unit
ΔE_f ... -0.008 eV per atom
N(E_F) ... 0.3449 states/eV/atom